# 1
Material: ScMnOsBr2
Method: DFT, PBE
State: relaxed

POSCAR file:
```
ScMnOsBr2
1.0
4.765 0.000 0.000
0.000 4.744 0.000
0.000 0.000 4.765
Sc Mn Br Os
1 1 2 1
direct
0.500 0.500 0.500
0.000 0.000 0.000
0.000 0.000 0.500
0.500 0.000 0.000
0.000 0.500 0.000
```

Formation energy from raw total energies, eV per formula unit: 3.402



# 2
Material: TcNiBr2
Method: DFT, PBE
State: relaxed

POSCAR file:
```
TcNiBr2
1.0
-2.271 -0.628 3.870
-3.400 -2.990 0.172
0.495 -3.863 2.316
Br Tc Ni
2 1 1
direct
0.750 0.750 0.750
0.250 0.250 0.250
0.500 0.500 0.500
0.000 0.000 0.000
```

Relative energy among the computed polymorphs, eV per atom: 0.690
Formation energy from raw total energies, eV per formula unit: 3.414



# 3
Material: RuCl4
Method: DFT, PBE
State: relaxed

POSCAR file:
```
RuCl4
1.0
-1.645 -4.313 2.471
-2.648 4.150 1.783
-0.822 -0.515 -5.145
Ru Cl
1 4
direct
0.000 0.000 0.000
0.000 0.500 0.000
0.500 0.000 0.000
0.500 0.500 0.500
0.000 0.000 0.500
```

Formation energy from raw total energies, eV per formula unit: 1.603



# 4
Material: KPd2Cl8
Method: DFT, PBE
State: relaxed

POSCAR file:
```
KPd2Cl8
1.0
-3.609 -3.652 0.846
6.201 -5.719 1.475
-1.475 6.483 6.018
Cl K Pd
8 1 2
direct
0.411 0.357 0.828
0.198 0.536 0.394
0.802 0.464 0.606
0.792 0.856 0.579
0.428 0.760 0.858
0.572 0.240 0.142
0.589 0.643 0.172
0.208 0.144 0.421
0.000 0.000 0.000
0.690 0.544 0.376
0.310 0.456 0.624
```

Relative energy among the computed polymorphs, eV per atom: 0.000
Formation energy from raw total energies, eV per formula unit: -6.415



# 5
Material: YMnCl2
Method: DFT, PBE
State: relaxed

POSCAR file:
```
YMnCl2
1.0
4.480 0.000 0.000
0.000 4.480 0.000
0.000 0.000 3.978
Y Cl Mn
1 2 1
direct
0.000 0.500 0.500
0.500 0.500 0.000
0.000 0.000 0.000
0.500 0.000 0.500
```

Relative energy among the computed polymorphs, eV per atom: 0.391
Formation energy from raw total energies, eV per formula unit: -2.262



# 6
Material: MnIrOs2
Method: DFT, PBE
State: relaxed

POSCAR file:
```
MnIrOs2
1.0
-2.310 2.162 -2.168
-3.013 -1.345 1.869
0.294 2.828 2.508
Os Ir Mn
2 1 1
direct
0.000 0.500 0.500
0.000 0.000 0.000
0.500 0.500 0.000
0.500 0.000 0.500
```

Relative energy among the computed polymorphs, eV per atom: 0.000



# 7
Material: SrTl2FeBr6
Method: DFT, PBE
State: relaxed

POSCAR file:
```
SrTl2FeBr6
1.0
-1.071 0.757 -7.855
6.232 -0.486 -4.935
0.866 -6.058 -4.740
Br Tl Fe Sr
6 2 1 1
direct
0.630 0.097 0.808
0.002 0.535 0.295
0.465 0.630 0.808
0.097 0.465 0.808
0.167 0.002 0.295
0.535 0.168 0.295
0.094 0.094 0.718
0.538 0.538 0.385
0.316 0.316 0.051
0.816 0.816 0.551
```

Formation energy from raw total energies, eV per formula unit: -10.546



# 8
Material: CrP
Method: DFT, PBE
State: relaxed

POSCAR file:
```
CrP
1.0
7.871 0.000 0.000
0.000 7.871 0.000
0.000 0.000 4.259
P Cr
8 8
direct
0.600 0.239 0.000
0.261 0.100 0.500
0.239 0.400 0.000
0.100 0.739 0.500
0.400 0.761 0.000
0.900 0.261 0.500
0.739 0.900 0.500
0.761 0.600 0.000
0.349 0.145 0.000
0.651 0.855 0.000
0.849 0.645 0.500
0.151 0.355 0.500
0.645 0.151 0.500
0.855 0.349 0.000
0.355 0.849 0.500
0.145 0.651 0.000
```

DFT total energy, eV/atom: -7.571



# 9
Material: LaPtRh2
Method: DFT, PBE
State: relaxed

POSCAR file:
```
LaPtRh2
1.0
-2.662 -3.026 -2.374
2.429 -0.764 -1.750
1.909 -3.957 2.901
La Pt Rh
1 1 2
direct
0.500 0.500 0.000
0.500 0.000 0.500
0.000 0.811 0.286
0.000 0.189 0.714
```

DFT total energy, eV/atom: -6.669



# 10
Material: Co2Ni13
Method: DFT, PBE
State: relaxed

POSCAR file:
```
Co2Ni13
1.0
-3.544 -2.096 1.242
0.615 -3.798 -4.723
2.472 -1.609 6.869
Co Ni
2 13
direct
0.066 0.730 0.598
0.934 0.270 0.402
0.666 0.333 0.999
0.265 0.934 0.400
0.000 0.000 0.000
0.467 0.134 0.201
0.800 0.801 0.200
0.868 0.534 0.800
0.132 0.466 0.200
0.600 0.600 0.401
0.334 0.667 0.001
0.200 0.199 0.800
0.533 0.866 0.799
0.400 0.400 0.599
0.735 0.066 0.600
```

DFT total energy, eV/atom: -5.960



# 11
Material: Tb6YTmSc2
Method: DFT, PBE
State: relaxed

POSCAR file:
```
Tb6YTmSc2
1.0
8.946 -1.895 -1.966
0.781 8.388 -1.984
0.781 -2.293 8.309
Tb Sc Y Tm
12 4 2 2
direct
0.618 0.498 0.705
0.882 0.295 0.502
0.118 0.705 0.498
0.183 0.561 0.016
0.382 0.502 0.295
0.553 0.757 0.121
0.053 0.121 0.757
0.817 0.439 0.984
0.447 0.243 0.879
0.317 0.984 0.439
0.683 0.016 0.561
0.947 0.879 0.243
0.454 0.802 0.693
0.954 0.693 0.802
0.046 0.307 0.198
0.546 0.198 0.307
0.750 0.025 0.975
0.250 0.975 0.025
0.250 0.409 0.591
0.750 0.591 0.409
```

DFT total energy, eV/atom: -5.016



# 12
Material: BaSn3I
Method: DFT, PBE
State: relaxed

POSCAR file:
```
BaSn3I
1.0
6.457 0.000 0.000
0.000 6.457 0.000
0.000 0.000 6.457
Ba Sn I
1 3 1
direct
0.000 0.000 0.000
0.500 0.000 0.000
0.000 0.000 0.500
0.000 0.500 0.000
0.500 0.500 0.500
```

Relative energy among the computed polymorphs, eV per atom: 0.606
Formation energy from raw total energies, eV per formula unit: 4.267



| no. | spin magnetization (μB per cell) |
| --- | --- |
| 1 | 2.645 |
| 2 | 0.903 |
| 3 | 3.070 |
| 4 | 1.107 |
| 5 | 3.767 |
| 6 | 1.196 |
| 7 | 4.000 |
| 8 | 0.083 |
| 9 | 0.000 |
| 10 | 11.735 |
| 11 | 0.000 |
| 12 | 2.807 |